# 1
## HfZn2Ga2 (PBE)

Data for a geometry-optimized HfZn2Ga2 structure.

As for the formation energy: -0.11 eV per atom.

Unit cell a=3.8727 b=3.8727 c=6.2298 alpha=71.89 beta=71.89 gamma=90.00
Positions (direct):
Zn  0.7500  0.2500  0.5000
Zn  0.2500  0.7500  0.5000
Ga  0.6054  0.6054  0.7892
Ga  0.3946  0.3946  0.2108
Hf  0.0000  0.0000  0.0000

# 2
## Pr6SmTl5 (PBE)

Data for a geometry-optimized Pr6SmTl5 structure.

As for the formation energy: -0.29 eV per atom.

Unit cell a=5.5812 b=7.8650 c=8.9791 alpha=90.00 beta=71.89 gamma=90.00
Each line ends with the local moment (μB).
Positions (direct):
Tl  0.0000  0.5000  0.0000  -0.01
Tl  0.6672  0.5000  0.6657  0.02
Tl  0.3498  0.0000  0.3004  0.00
Tl  0.3328  0.5000  0.3343  0.02
Tl  0.6502  0.0000  0.6996  0.00
Pr  0.1735  0.7520  0.6529  0.15
Pr  0.5000  0.7318  0.0000  0.14
Pr  0.5000  0.2682  0.0000  0.14
Pr  0.1735  0.2480  0.6529  0.15
Pr  0.8265  0.2480  0.3471  0.15
Pr  0.8265  0.7520  0.3471  0.15
Sm  0.0000  0.0000  0.0000  0.50

# 3
## ZrIrSN2 (PBE)

Data for a geometry-optimized ZrIrSN2 structure.

The value obtained for the formation energy (no corrections) is 0.443 eV/atom.

Unit cell a=3.8560 b=3.8560 c=4.8261 alpha=90.00 beta=90.00 gamma=90.00
Positions (direct):
Zr  0.5000  0.5000  0.5000
N  0.5000  0.0000  0.0000
N  0.0000  0.5000  0.0000
Ir  0.0000  0.0000  0.0000
S  0.0000  0.0000  0.5000

| no. | offset from the most stable computed form (eV per atom) | energy (Ha/atom) |
| --- | --- | --- |
| 1 | 0.1621 | -0.140 |
| 2 | 0.0157 | -0.149 |
| 3 | 0.0000 | -0.264 |